{
  "formula": "CeMg3Zn4",
  "functional": "PBE-GGA",
  "state": "relaxed",
  "lattice": [[9.3850, 0.0000, 0.0000], [0.0000, 7.1875, 0.0000], [0.0000, 0.0000, 4.6948]],
  "species": ["Ce", "Ce", "Mg", "Mg", "Mg", "Mg", "Mg", "Mg", "Zn", "Zn", "Zn", "Zn", "Zn", "Zn", "Zn", "Zn"],
  "fractional_positions": [[0.0000, 0.0000, 0.0000], [0.5000, 0.0000, 0.0000], [0.0000, 0.5000, 0.0000], [0.2500, 0.0000, 0.4995], [0.2500, 0.5000, 0.4991], [0.5000, 0.5000, 0.0000], [0.7500, 0.0000, 0.5005], [0.7500, 0.5000, 0.5009], [0.0000, 0.2669, 0.5000], [0.0000, 0.7331, 0.5000], [0.2500, 0.2670, 0.9989], [0.2500, 0.7330, 0.9989], [0.5000, 0.2669, 0.5000], [0.5000, 0.7331, 0.5000], [0.7500, 0.2670, 0.0011], [0.7500, 0.7330, 0.0011]],
  "delta_e_f_ev_per_atom": -0.1297,
  "sg": "Pmma (51)"
}